Here is crystalline NaAs2BrN at its relaxed geometry from Alexandria via LeMat-Bulk. Energies are from PBE.

Lattice parameters (Å, degrees): 4.159 4.159 8.484 90.00 90.00 90.00
Space group P4/mmm (No. 123)
Inequivalent atoms, fractional coordinates:
Na 0.000 0.000 0.000 x1
As 0.000 0.500 0.500 x2
Br 0.500 0.500 0.000 x1
N 0.500 0.500 0.500 x1

* formation energy (no corrections): 1.45 eV per formula unit
* ΔE to the lowest computed polymorph: 0.0 meV per atom